Al12Cr3Ge5 (GGA-PBE, relaxed); energy relative to the elements = 312 meV per atom; space group = Ia-3d (230); E = -4.531 eV/atom
1.0
-7.499 7.499 7.499
7.499 -7.499 7.499
7.499 7.499 -7.499
Al Cr Ge
48 12 20
Cartesian
2.269 -0.256 1.184
8.979 4.934 -4.005
7.243 -1.184 2.269
11.504 -1.480 2.565
9.768 0.256 1.184
8.979 -2.565 4.005
1.184 2.269 -0.256
10.064 3.494 -1.480
4.934 4.005 -1.480
6.315 2.269 0.256
-0.256 1.184 2.269
4.005 -1.480 4.934
7.243 6.315 -2.269
4.005 1.480 2.565
6.315 -2.269 7.243
4.934 -4.005 8.979
2.565 4.005 1.480
8.683 5.230 0.256
2.269 7.243 -1.184
8.979 2.565 3.494
4.005 8.979 -2.565
7.243 1.184 5.230
1.480 2.565 4.005
2.269 0.256 6.315
5.230 7.243 1.184
6.019 4.934 3.494
0.256 6.315 2.269
3.494 -1.480 10.064
-1.480 4.934 4.005
5.230 0.256 8.683
-1.184 2.269 7.243
4.934 3.494 6.019
2.565 11.504 -1.480
1.184 9.768 0.256
3.494 6.019 4.934
0.256 1.184 9.768
3.494 8.979 2.565
7.755 6.315 5.230
1.184 5.230 7.243
2.565 3.494 8.979
-2.565 4.005 8.979
6.315 5.230 7.755
-1.480 10.064 3.494
-2.269 7.243 6.315
-4.005 8.979 4.934
0.256 8.683 5.230
-1.480 2.565 11.504
5.230 7.755 6.315
3.750 1.875 0.000
7.499 3.750 -1.875
1.875 0.000 3.750
9.374 0.000 3.750
0.000 3.750 1.875
3.750 -1.875 7.499
3.750 9.374 0.000
7.499 3.750 5.624
-1.875 7.499 3.750
5.624 7.499 3.750
0.000 3.750 9.374
3.750 5.624 7.499
0.000 0.000 0.000
3.750 3.750 -3.750
3.750 -3.750 3.750
7.499 0.000 0.000
11.249 1.875 0.000
7.499 -3.750 5.624
5.624 7.499 -3.750
5.624 0.000 3.750
3.750 5.624 0.000
7.499 3.750 1.875
-3.750 3.750 3.750
0.000 7.499 0.000
0.000 0.000 7.499
3.750 3.750 3.750
0.000 3.750 5.624
3.750 1.875 7.499
1.875 7.499 3.750
1.875 0.000 11.249
0.000 11.249 1.875
-3.750 5.624 7.499


ZrFe2Cl (GGA-PBE, relaxed); space group = R3m (160); uncorrected formation energy = -11 kJ/mol of formula units; energy relative to the lowest polymorph listed for this composition = 0.535 eV/f.u.; E = -6.858 eV/atom
1.0
1.574 0.908 8.766
-1.574 0.908 8.766
0.000 -1.817 8.766
Zr Fe Cl
1 2 1
Cartesian
0.000 0.000 0.000
0.000 0.000 6.630
0.000 0.000 13.813
0.000 0.000 19.421


TbHo3Pd4 (GGA-PBE, relaxed); energy relative to the elements = -898 meV per atom; space group = Pmma (51); E = -5.790 eV/atom
1.0
9.997 0.000 0.000
0.000 6.855 0.000
0.000 0.000 4.998
Tb Ho Pd
2 6 8
Cartesian
0.000 0.000 0.000
4.999 0.000 0.000
0.000 3.428 0.000
2.499 0.000 2.497
2.499 3.428 2.496
4.999 3.428 0.000
7.498 0.000 2.502
7.498 3.428 2.502
0.000 1.728 2.499
0.000 5.127 2.499
2.499 1.727 4.993
2.499 5.128 4.993
4.999 1.728 2.499
4.999 5.127 2.499
7.498 1.727 0.005
7.498 5.128 0.005


TbUTcRu (GGA-PBE, relaxed); energy relative to the elements = -63 meV per atom; space group = F-43m (216); energy relative to the lowest polymorph listed for this composition = 0.607 eV/f.u.; E = -8.953 eV/atom
1.0
0.000 3.399 3.399
3.399 0.000 3.399
3.399 3.399 0.000
Tb U Tc Ru
1 1 1 1
Cartesian
0.000 0.000 0.000
3.399 3.399 3.399
1.699 1.699 1.699
5.098 5.098 5.098


InGeSb3 (GGA-PBE, relaxed); space group = Pm-3m (221); uncorrected formation energy = 254 kJ/mol of formula units; energy relative to the lowest polymorph listed for this composition = 0.000 eV/f.u.; E = -3.418 eV/atom
1.0
5.418 0.000 0.000
0.000 5.418 0.000
0.000 0.000 5.418
In Ge Sb
1 1 3
Cartesian
0.000 0.000 0.000
2.709 2.709 2.709
0.000 2.709 2.709
2.709 0.000 2.709
2.709 2.709 0.000


PmHoIn6 (GGA-PBE, relaxed); energy relative to the elements = -434 meV per atom; space group = P4/mmm (123); E = -3.654 eV/atom
1.0
4.663 0.000 0.000
0.000 4.663 0.000
0.000 0.000 9.322
Pm Ho In
1 1 6
Cartesian
0.000 0.000 0.000
0.000 0.000 4.661
0.000 2.331 2.368
0.000 2.331 6.954
2.331 0.000 2.368
2.331 0.000 6.954
2.331 2.331 0.000
2.331 2.331 4.661


Be2InHg (GGA-PBE, relaxed); energy relative to the elements = 621 meV per atom; space group = Pmmm (47); energy relative to the lowest polymorph listed for this composition = 0.956 eV/f.u.; E = -2.002 eV/atom
1.0
2.858 0.000 0.000
0.000 4.200 0.000
0.000 0.000 6.063
Be In Hg
2 1 1
Cartesian
0.000 0.000 0.000
1.429 0.000 3.031
0.000 2.100 3.031
1.429 2.100 0.000


ErPa2Mn (GGA-PBE, relaxed); energy relative to the elements = 179 meV per atom; space group = P4/mmm (123); energy relative to the lowest polymorph listed for this composition = 0.092 eV/f.u.; E = -8.002 eV/atom
1.0
3.323 0.000 0.000
0.000 3.323 0.000
0.000 0.000 8.390
Er Pa Mn
1 2 1
Cartesian
0.000 0.000 0.000
1.661 1.661 2.610
1.661 1.661 5.779
0.000 0.000 4.195


HgP2Pd2 (GGA-PBE, relaxed); energy relative to the elements = -122 meV per atom; space group = I4/mmm (139); energy relative to the lowest polymorph listed for this composition = 0.000 eV/f.u.; E = -4.423 eV/atom
1.0
-2.198 2.198 4.455
2.198 -2.198 4.455
2.198 2.198 -4.455
Hg P Pd
1 2 2
Cartesian
0.000 0.000 0.000
0.000 0.000 3.359
0.000 0.000 5.550
2.198 0.000 2.227
0.000 2.198 2.227


CaCd5Br12 (GGA-PBE, relaxed); space group = C2/m (12); uncorrected formation energy = -1826 kJ/mol of formula units; E = -2.532 eV/atom
1.0
3.536 -6.132 0.000
3.536 6.132 0.000
-0.018 0.000 13.934
Ca Cd Br
1 5 12
Cartesian
0.000 0.000 0.000
3.527 4.089 6.967
3.536 2.043 0.000
3.527 0.000 6.967
3.536 -2.043 0.000
3.527 -4.089 6.967
1.215 2.108 1.602
5.839 -2.108 12.332
1.169 0.000 5.402
2.347 2.043 8.527
1.215 -2.108 1.602
2.413 0.000 12.329
2.347 -2.043 8.527
4.707 2.043 5.406
5.839 2.108 12.332
4.641 0.000 1.605
4.707 -2.043 5.406
5.886 0.000 8.532


Ca2TlP (GGA-PBE, relaxed); energy relative to the elements = -667 meV per atom; space group = C2/m (12); energy relative to the lowest polymorph listed for this composition = 0.020 eV/f.u.; E = -3.612 eV/atom
1.0
3.612 -2.079 0.000
3.612 2.079 0.000
-2.364 0.000 8.303
Ca Tl P
2 1 1
Cartesian
1.207 0.000 1.460
3.654 0.000 6.843
-1.182 0.000 4.151
3.612 0.000 0.000


InTcBr2 (GGA-PBE, relaxed); space group = Cmm2 (35); uncorrected formation energy = 68 kJ/mol of formula units; energy relative to the lowest polymorph listed for this composition = 0.996 eV/f.u.; E = -3.935 eV/atom
1.0
1.710 -3.237 0.000
1.710 3.237 0.000
0.000 0.000 9.828
In Tc Br
1 1 2
Cartesian
0.000 0.000 0.000
1.710 0.000 7.647
0.000 0.000 5.830
1.710 0.000 2.137


Tm6Ag5Ir (GGA-PBE, relaxed); energy relative to the elements = -459 meV per atom; space group = Cmmm (65); E = -4.622 eV/atom
1.0
2.498 -7.539 0.000
2.498 7.539 0.000
0.000 0.000 7.133
Tm Ag Ir
6 5 1
Cartesian
0.000 0.000 1.671
0.000 0.000 5.463
2.498 2.393 1.736
2.498 2.393 5.398
2.498 -2.393 1.736
2.498 -2.393 5.398
2.498 5.023 3.567
2.498 4.899 0.000
2.498 0.000 3.567
2.498 -4.899 0.000
2.498 -5.023 3.567
2.498 0.000 0.000


TcPb2Br (GGA-PBE, relaxed); space group = I-4m2 (119); uncorrected formation energy = 274 kJ/mol of formula units; energy relative to the lowest polymorph listed for this composition = 1.693 eV/f.u.; E = -4.153 eV/atom
1.0
-2.098 2.098 6.312
2.098 -2.098 6.312
2.098 2.098 -6.312
Tc Pb Br
1 2 1
Cartesian
0.000 0.000 0.000
0.000 0.000 6.312
0.000 2.098 3.156
2.098 0.000 3.156


TlCrAg2 (GGA-PBE, relaxed); energy relative to the elements = 538 meV per atom; space group = I-42d (122); E = -3.885 eV/atom
1.0
-3.893 3.893 2.830
3.893 -3.893 2.830
3.893 3.893 -2.830
Tl Cr Ag
2 2 4
Cartesian
0.000 0.000 0.000
0.000 3.893 1.415
3.893 0.000 1.415
0.000 0.000 2.830
1.947 -1.822 2.122
2.072 1.947 0.707
1.947 5.715 -0.707
1.822 1.947 3.537


La5Tl2Os (GGA-PBE, relaxed); energy relative to the elements = -166 meV per atom; space group = Cmcm (63); energy relative to the lowest polymorph listed for this composition = 1.296 eV/f.u.; E = -5.241 eV/atom
1.0
2.981 -5.538 0.000
2.981 5.538 0.000
0.000 0.000 16.244
La Tl Os
10 4 2
Cartesian
2.981 4.584 10.051
2.981 4.584 14.316
2.981 2.744 4.061
2.981 0.984 10.079
2.981 0.984 14.287
2.981 -0.984 1.957
2.981 -0.984 6.165
2.981 -2.744 12.183
2.981 -4.584 1.929
2.981 -4.584 6.194
2.981 2.761 0.869
2.981 2.761 7.253
2.981 -2.761 8.991
2.981 -2.761 15.376
2.981 2.801 12.183
2.981 -2.801 4.061


Rb2N2Cl3 (GGA-PBE, relaxed); space group = P-1 (2); uncorrected formation energy = -12 kJ/mol of formula units; E = -3.464 eV/atom
1.0
4.710 0.000 0.000
-0.003 5.646 0.000
-0.352 -2.763 8.467
Rb N Cl
2 2 3
Cartesian
-0.008 0.032 2.185
4.363 2.850 6.281
0.901 2.853 3.345
3.454 0.029 5.122
1.822 0.029 5.263
2.355 0.000 0.000
2.533 2.853 3.204


Ba8Na3In2 (GGA-PBE, relaxed); energy relative to the elements = -79 meV per atom; space group = Cmmm (65); E = -1.988 eV/atom
1.0
6.074 -9.492 0.000
6.074 9.492 0.000
0.000 0.000 5.987
Ba Na In
8 3 2
Cartesian
3.057 2.729 2.994
6.074 7.100 0.000
6.074 3.038 0.000
3.057 -2.729 2.994
9.091 2.729 2.994
6.074 -3.038 0.000
6.074 -7.100 0.000
9.091 -2.729 2.994
3.454 0.000 0.000
6.074 0.000 2.994
8.694 0.000 0.000
6.074 4.945 2.994
6.074 -4.945 2.994


TlIn2Os (GGA-PBE, relaxed); energy relative to the elements = 361 meV per atom; space group = Imm2 (44); energy relative to the lowest polymorph listed for this composition = 0.006 eV/f.u.; E = -4.407 eV/atom
1.0
-1.528 2.295 6.844
1.528 -2.295 6.844
1.528 2.295 -6.844
Tl In Os
1 2 1
Cartesian
0.000 0.000 0.000
0.000 0.000 4.951
0.000 2.295 2.524
1.528 0.000 2.610


Sc2TiAu2 (GGA-PBE, relaxed); energy relative to the elements = -410 meV per atom; space group = P4/mbm (127); energy relative to the lowest polymorph listed for this composition = 0.399 eV/f.u.; E = -5.833 eV/atom
1.0
7.887 0.000 0.000
0.000 7.887 0.000
0.000 0.000 3.214
Sc Ti Au
4 2 4
Cartesian
1.216 2.728 0.000
2.728 6.671 0.000
5.159 1.216 0.000
6.671 5.159 0.000
0.000 0.000 0.000
3.943 3.943 0.000
1.135 5.079 1.607
2.808 1.135 1.607
5.079 6.751 1.607
6.751 2.808 1.607